Entry 1:
This record from Alexandria describes a geometry-optimized TlReSeBr2 structure. The functional is PBE.

Volume   138 Å³ per cell
ΔE to the lowest computed polymorph   0.000 eV/atom
Formation energy without anion corrections   65 meV/atom

```
data_TlReSeBr2
_cell_length_a 5.4041
_cell_length_b 5.4041
_cell_length_c 4.7356
_cell_angle_alpha 90.00
_cell_angle_beta 90.00
_cell_angle_gamma 90.00
_symmetry_space_group_name_H-M 'P 4/m m m'
_symmetry_Int_Tables_number 123
_symmetry_space_group_name_Hall '-P 4 2'
loop_
_atom_site_label
_atom_site_type_symbol
_atom_site_fract_x
_atom_site_fract_y
_atom_site_fract_z
_atom_site_occupancy
Tl1 Tl 0.0000 0.0000 0.0000 1
Re1 Re 0.5000 0.5000 0.5000 1
Se1 Se 0.5000 0.5000 0.0000 1
Br1 Br 0.0000 0.5000 0.5000 1
```

Entry 2:
This record from Alexandria describes a geometry-optimized BaAgBi2 structure. The functional is PBE.

Volume   128 Å³ per cell
ΔE_f   -0.3189 eV/atom

```
data_BaAgBi2
_cell_length_a 5.0752
_cell_length_b 5.0752
_cell_length_c 4.9776
_cell_angle_alpha 90.00
_cell_angle_beta 90.00
_cell_angle_gamma 90.00
_symmetry_space_group_name_H-M 'P 4/m m m'
_symmetry_Int_Tables_number 123
_symmetry_space_group_name_Hall '-P 4 2'
loop_
_atom_site_label
_atom_site_type_symbol
_atom_site_fract_x
_atom_site_fract_y
_atom_site_fract_z
_atom_site_occupancy
Ba1 Ba 0.0000 0.0000 0.0000 1
Ag1 Ag 0.5000 0.5000 0.0000 1
Bi1 Bi 0.0000 0.5000 0.5000 1
```

Entry 3:
This record from Alexandria describes a geometry-optimized PmZrCdPb structure. The functional is PBE.

Volume   411 Å³ per cell
ΔE_f   -0.1692 eV/atom

```
data_PmZrCdPb
_cell_length_a 7.4354
_cell_length_b 7.4354
_cell_length_c 7.4354
_cell_angle_alpha 90.00
_cell_angle_beta 90.00
_cell_angle_gamma 90.00
_symmetry_space_group_name_H-M 'F -4 3 m'
_symmetry_Int_Tables_number 216
_symmetry_space_group_name_Hall 'F -4 2 3'
loop_
_atom_site_label
_atom_site_type_symbol
_atom_site_fract_x
_atom_site_fract_y
_atom_site_fract_z
_atom_site_occupancy
Pm1 Pm 0.0000 0.0000 0.0000 1
Zr1 Zr 0.0000 0.0000 0.5000 1
Cd1 Cd 0.2500 0.2500 0.2500 1
Pb1 Pb 0.2500 0.2500 0.7500 1
```

Entry 4:
This record from Alexandria describes a geometry-optimized AcDyTlZn structure. The functional is PBE.

Volume   470 Å³ per cell
ΔE to the lowest computed polymorph   0.050 eV/atom
ΔE_f   -0.2607 eV/atom

```
data_AcDyTlZn
_cell_length_a 7.7727
_cell_length_b 7.7727
_cell_length_c 7.7727
_cell_angle_alpha 90.00
_cell_angle_beta 90.00
_cell_angle_gamma 90.00
_symmetry_space_group_name_H-M 'F -4 3 m'
_symmetry_Int_Tables_number 216
_symmetry_space_group_name_Hall 'F -4 2 3'
loop_
_atom_site_label
_atom_site_type_symbol
_atom_site_fract_x
_atom_site_fract_y
_atom_site_fract_z
_atom_site_occupancy
Ac1 Ac 0.0000 0.0000 0.0000 1
Dy1 Dy 0.0000 0.0000 0.5000 1
Tl1 Tl 0.2500 0.2500 0.2500 1
Zn1 Zn 0.2500 0.2500 0.7500 1
```

Entry 5:
This record from Alexandria describes a geometry-optimized BaReH6 structure. The functional is PBE.

Volume   406 Å³ per cell
Calculated total energy   -4.23 eV/atom

```
data_BaReH6
_cell_length_a 9.0287
_cell_length_b 5.1474
_cell_length_c 9.2465
_cell_angle_alpha 90.00
_cell_angle_beta 108.95
_cell_angle_gamma 90.00
_symmetry_space_group_name_H-M 'C 1 2/c 1'
_symmetry_Int_Tables_number 15
loop_
_symmetry_equiv_pos_as_xyz
'x,y,z'
'-x,-y,-z'
'-x,y,-z+1/2'
'x,-y,z+1/2'
'x+1/2,y+1/2,z'
'-x+1/2,-y+1/2,-z'
'-x+1/2,y+1/2,-z+1/2'
'x+1/2,-y+1/2,z+1/2'
loop_
_atom_site_label
_atom_site_type_symbol
_atom_site_fract_x
_atom_site_fract_y
_atom_site_fract_z
_atom_site_occupancy
Ba1 Ba 0.0000 0.2195 0.2500 1
Re1 Re 0.2500 0.2500 0.0000 1
H1 H 0.0488 0.2993 0.8977 1
H2 H 0.1905 0.0431 0.5659 1
H3 H 0.2304 0.4274 0.1567 1
```

Entry 6:
This record from Alexandria describes a geometry-optimized Sr2PmMg3 structure. The functional is PBE.

Volume   202 Å³ per cell
ΔE_f   -0.0613 eV/atom

```
data_Sr2PmMg3
_cell_length_a 4.0261
_cell_length_b 4.0261
_cell_length_c 12.4848
_cell_angle_alpha 90.00
_cell_angle_beta 90.00
_cell_angle_gamma 90.00
_symmetry_space_group_name_H-M 'P 4/m m m'
_symmetry_Int_Tables_number 123
_symmetry_space_group_name_Hall '-P 4 2'
loop_
_atom_site_label
_atom_site_type_symbol
_atom_site_fract_x
_atom_site_fract_y
_atom_site_fract_z
_atom_site_occupancy
Sr1 Sr 0.0000 0.0000 0.1766 1
Pm1 Pm 0.0000 0.0000 0.5000 1
Mg1 Mg 0.5000 0.5000 0.0000 1
Mg2 Mg 0.5000 0.5000 0.3569 1
```